A plane-wave DFT calculation with PBE+U was carried out for a geometry-optimized Ca2GaNiO5 structure.

Values from the calculation:
Symmetry ... Cmc2_1 (36)
DFT total energy ... -0.2133 hartree per atom

Unit cell a=6.720 b=6.720 c=10.332 alpha=90.00 beta=90.00 gamma=152.56
Fractional positions:
Ca (0.098, 0.902, 0.500)
Ca (0.144, 0.856, 0.133)
Ca (0.856, 0.144, 0.633)
Ca (0.902, 0.098, 0.000)
Ga (0.451, 0.549, 0.278)
Ga (0.549, 0.451, 0.778)
Ni (0.225, 0.775, 0.860)
Ni (0.775, 0.225, 0.360)
O (0.059, 0.941, 0.875)
O (0.275, 0.725, 0.490)
O (0.306, 0.694, 0.235)
O (0.369, 0.631, 0.832)
O (0.497, 0.503, 0.613)
O (0.503, 0.497, 0.113)
O (0.631, 0.369, 0.332)
O (0.694, 0.306, 0.735)
O (0.725, 0.275, 0.990)
O (0.941, 0.059, 0.375)